[1]
## Nd3Os (GGA-PBE)

Data for crystalline Nd3Os at its relaxed geometry.

Summary:
ΔE_f	0.029	eV/atom
calculated total energy	-50.83	eV/cell
Fermi-level density of states	7.38	states/eV per cell

```
8
Lattice="3.778 0.000 0.000 0.000 10.999 0.000 0.000 0.000 5.595" Properties=species:S:1:pos:R:3 pbc="T T T"
Nd 0.000 0.000 0.000
Nd 0.000 2.140 2.786
Nd 0.000 8.859 2.786
Nd 1.889 3.360 5.583
Nd 1.889 5.499 2.797
Nd 1.889 7.639 5.583
Os 0.000 5.499 5.224
Os 1.889 0.000 2.426
```

[2]
## NdOs4 (GGA-PBE)

Data for crystalline NdOs4 at its relaxed geometry.

Summary:
ΔE_f	3.753	eV/atom
calculated total energy	-30.92	eV/cell
Fermi-level density of states	11.98	states/eV per cell

```
5
Lattice="4.821 0.000 0.000 0.000 4.821 0.000 0.000 0.000 4.821" Properties=species:S:1:pos:R:3 pbc="T T T"
Nd 0.000 0.000 0.000
Os 0.000 0.000 2.411
Os 0.000 2.411 0.000
Os 2.411 0.000 0.000
Os 2.411 2.411 2.411
```

[3]
## Nd5Os2 (GGA-PBE)

Data for crystalline Nd5Os2 at its relaxed geometry.

Summary:
ΔE_f	-0.113	eV/atom
calculated total energy	-94.17	eV/cell
Fermi-level density of states	11.42	states/eV per cell

```
14
Lattice="8.186 -3.323 0.000 8.186 3.323 0.000 -0.905 0.000 7.396" Properties=species:S:1:pos:R:3 pbc="T T T"
Nd 7.507 2.838 5.547
Nd 3.267 0.500 2.332
Nd 2.814 -0.500 6.030
Nd 6.607 0.741 0.634
Nd 9.312 0.741 3.063
Nd 6.155 -0.741 4.332
Nd 8.860 -0.741 6.761
Nd 12.653 0.500 1.366
Nd 12.200 -0.500 5.064
Nd 7.960 -2.838 1.849
Os 5.994 1.902 3.146
Os 9.925 1.902 0.552
Os 5.542 -1.902 6.844
Os 9.473 -1.902 4.250
```

[4]
## Nd3Os (GGA-PBE)

Data for crystalline Nd3Os at its relaxed geometry.

Summary:
ΔE_f	-0.102	eV/atom
calculated total energy	-103.76	eV/cell
Fermi-level density of states	15.27	states/eV per cell

```
16
Lattice="7.503 0.000 0.000 0.000 9.648 0.000 0.000 0.000 6.541" Properties=species:S:1:pos:R:3 pbc="T T T"
Nd 0.320 2.412 0.919
Nd 1.310 0.639 4.382
Nd 1.310 4.186 4.382
Nd 2.442 5.463 1.111
Nd 2.442 9.010 1.111
Nd 3.432 7.236 4.190
Nd 4.072 2.412 2.351
Nd 5.062 0.639 5.430
Nd 5.062 4.186 5.430
Nd 6.193 5.463 2.159
Nd 6.193 9.010 2.159
Nd 7.183 7.236 5.621
Os 0.858 7.236 2.941
Os 2.893 2.412 6.211
Os 4.610 7.236 0.330
Os 6.645 2.412 3.600
```

[5]
## Nd4Os (GGA-PBE)

Data for crystalline Nd4Os at its relaxed geometry.

Summary:
ΔE_f	0.128	eV/atom
calculated total energy	-29.66	eV/cell
Fermi-level density of states	6.81	states/eV per cell

```
5
Lattice="5.624 0.000 0.000 0.000 5.624 0.000 0.000 0.000 5.624" Properties=species:S:1:pos:R:3 pbc="T T T"
Nd 0.000 0.000 0.000
Nd 0.000 2.812 2.812
Nd 2.812 0.000 2.812
Nd 2.812 2.812 0.000
Os 2.812 2.812 2.812
```

[6]
## NdOs2 (GGA-PBE)

Data for crystalline NdOs2 at its relaxed geometry.

Summary:
ΔE_f	-0.101	eV/atom
calculated total energy	-110.12	eV/cell
Fermi-level density of states	14.44	states/eV per cell

```
12
Lattice="5.359 0.000 0.000 -2.680 4.641 0.000 0.000 0.000 9.148" Properties=species:S:1:pos:R:3 pbc="T T T"
Nd 0.000 3.094 0.584
Nd 0.000 3.094 3.990
Nd 2.680 1.547 5.158
Nd 2.680 1.547 8.564
Os 0.000 0.000 0.000
Os 0.000 0.000 4.574
Os 0.000 1.573 6.861
Os -1.318 3.855 6.861
Os 1.362 0.786 2.287
Os 1.318 3.855 6.861
Os 3.997 0.786 2.287
Os 2.680 3.069 2.287
```

[7]
## Nd3Os (GGA-PBE)

Data for crystalline Nd3Os at its relaxed geometry.

Summary:
ΔE_f	0.292	eV/atom
calculated total energy	-24.36	eV/cell
Fermi-level density of states	3.76	states/eV per cell

```
4
Lattice="3.437 0.000 0.000 0.000 3.781 0.000 0.000 0.000 9.725" Properties=species:S:1:pos:R:3 pbc="T T T"
Nd 0.000 0.000 0.000
Nd 0.000 1.890 3.339
Nd 1.718 1.890 6.825
Os 1.718 0.000 4.816
```

[8]
## Nd2Os3 (GGA-PBE)

Data for crystalline Nd2Os3 at its relaxed geometry.

Summary:
ΔE_f	-0.080	eV/atom
calculated total energy	-87.25	eV/cell
Fermi-level density of states	5.86	states/eV per cell

```
10
Lattice="4.393 0.000 0.000 0.000 5.261 0.000 0.000 0.000 9.463" Properties=species:S:1:pos:R:3 pbc="T T T"
Nd 0.000 0.000 1.840
Nd 0.000 0.000 7.623
Nd 2.196 2.630 2.891
Nd 2.196 2.630 6.572
Os 0.000 1.407 4.732
Os 0.000 2.630 0.000
Os 0.000 3.854 4.732
Os 2.196 0.000 4.732
Os 2.196 1.223 0.000
Os 2.196 4.037 0.000
```

[9]
## Nd2Os3 (GGA-PBE)

Data for crystalline Nd2Os3 at its relaxed geometry.

Summary:
ΔE_f	-0.045	eV/atom
calculated total energy	-86.90	eV/cell
Fermi-level density of states	11.05	states/eV per cell

```
10
Lattice="2.550 -5.281 0.000 2.550 5.281 0.000 0.000 0.000 8.165" Properties=species:S:1:pos:R:3 pbc="T T T"
Nd 2.550 3.652 7.382
Nd 2.550 1.630 3.299
Nd 2.550 -1.630 4.866
Nd 2.550 -3.652 0.783
Os 0.000 0.000 4.083
Os 1.275 0.988 6.124
Os 1.275 -0.988 2.041
Os 2.550 0.000 0.000
Os 3.825 0.988 6.124
Os 3.825 -0.988 2.041
```

[10]
## Nd3Os (GGA-PBE)

Data for crystalline Nd3Os at its relaxed geometry.

Summary:
ΔE_f	-0.050	eV/atom
calculated total energy	-102.93	eV/cell
Fermi-level density of states	15.86	states/eV per cell

```
16
Lattice="6.783 -5.997 0.000 6.783 5.997 0.000 -2.978 0.000 5.624" Properties=species:S:1:pos:R:3 pbc="T T T"
Nd 0.000 0.000 0.000
Nd 6.794 -4.294 3.609
Nd 4.972 2.863 0.942
Nd 1.265 -1.857 2.816
Nd 3.749 -0.730 0.533
Nd 3.573 0.548 3.598
Nd 5.616 2.863 4.683
Nd 7.015 0.548 2.026
Nd 3.794 -4.294 2.016
Nd 6.783 -2.599 0.000
Nd 6.839 -0.730 5.091
Nd 9.323 -1.857 2.808
Os 5.294 5.188 2.812
Os 2.219 1.700 1.180
Os 5.294 -1.779 2.812
Os 8.369 1.700 4.444
```

[11]
## NdOs (GGA-PBE)

Data for crystalline NdOs at its relaxed geometry.

Summary:
ΔE_f	0.272	eV/atom
calculated total energy	-15.45	eV/cell
Fermi-level density of states	1.97	states/eV per cell

```
2
Lattice="3.517 0.000 0.000 0.000 3.517 0.000 0.000 0.000 3.532" Properties=species:S:1:pos:R:3 pbc="T T T"
Nd 0.000 0.000 0.000
Os 1.759 1.759 1.766
```

[12]
## Nd3Os (GGA-PBE)

Data for crystalline Nd3Os at its relaxed geometry.

Summary:
ΔE_f	-0.021	eV/atom
calculated total energy	-204.93	eV/cell
Fermi-level density of states	36.00	states/eV per cell

```
32
Lattice="11.915 0.000 0.000 0.000 11.915 0.000 0.000 0.000 6.511" Properties=species:S:1:pos:R:3 pbc="T T T"
Nd 0.366 7.108 1.271
Nd 1.150 11.549 4.526
Nd 1.331 7.960 4.511
Nd 1.428 2.299 0.149
Nd 2.002 10.584 1.256
Nd 2.299 4.530 3.106
Nd 3.659 1.428 3.106
Nd 3.955 7.289 1.256
Nd 4.530 3.659 0.149
Nd 4.626 9.913 4.511
Nd 4.807 6.324 4.526
Nd 5.591 10.765 1.271
Nd 6.324 1.150 5.240
Nd 7.108 5.591 1.985
Nd 7.289 2.002 2.000
Nd 7.385 8.256 6.362
Nd 7.960 4.626 5.255
Nd 8.256 10.488 3.405
Nd 9.617 7.385 3.405
Nd 9.913 1.331 5.255
Nd 10.488 9.617 6.362
Nd 10.584 3.955 2.000
Nd 10.765 0.366 1.985
Nd 11.549 4.807 5.240
Os 0.626 2.214 3.313
Os 2.214 5.332 6.454
Os 3.744 0.626 6.454
Os 5.332 3.744 3.313
Os 6.584 8.171 3.198
Os 8.171 11.289 0.057
Os 9.702 6.584 0.057
Os 11.289 9.702 3.198
```

[13]
## NdOs6 (GGA-PBE)

Data for crystalline NdOs6 at its relaxed geometry.

Summary:
ΔE_f	0.720	eV/atom
calculated total energy	-134.21	eV/cell
Fermi-level density of states	13.05	states/eV per cell

```
14
Lattice="6.812 0.000 0.000 0.000 6.812 0.000 0.000 0.000 6.812" Properties=species:S:1:pos:R:3 pbc="T T T"
Nd 0.000 0.000 0.000
Nd 3.406 3.406 3.406
Os 0.000 1.703 3.406
Os 0.000 3.406 1.703
Os 0.000 3.406 5.109
Os 0.000 5.109 3.406
Os 1.703 0.000 3.406
Os 1.703 3.406 0.000
Os 3.406 0.000 1.703
Os 3.406 0.000 5.109
Os 3.406 1.703 0.000
Os 3.406 5.109 0.000
Os 5.109 0.000 3.406
Os 5.109 3.406 0.000
```

[14]
## NdOs2 (GGA-PBE)

Data for crystalline NdOs2 at its relaxed geometry.

Summary:
ΔE_f	0.267	eV/atom
calculated total energy	-52.85	eV/cell
Fermi-level density of states	5.40	states/eV per cell

```
6
Lattice="2.971 0.000 0.000 0.000 2.971 0.000 0.000 0.000 12.876" Properties=species:S:1:pos:R:3 pbc="T T T"
Nd 0.000 0.000 0.000
Nd 1.485 1.485 6.438
Os 0.000 0.000 3.976
Os 0.000 0.000 8.900
Os 1.485 1.485 2.462
Os 1.485 1.485 10.414
```

[15]
## NdP12Os4 (GGA-PBE)

Data for crystalline NdP12Os4 at its relaxed geometry.

Summary:
ΔE_f	-0.591	eV/atom
calculated total energy	-124.65	eV/cell
Fermi-level density of states	5.15	states/eV per cell

```
17
Lattice="-4.061 4.061 4.061 4.061 -4.061 4.061 4.061 4.061 -4.061" Properties=species:S:1:pos:R:3 pbc="T T T"
Nd 0.000 0.000 0.000
P 2.901 1.163 0.000
P 5.222 1.163 0.000
P 4.061 -1.161 2.898
P 2.898 4.061 -1.161
P 1.163 0.000 2.901
P 0.000 2.901 1.163
P 4.061 1.161 2.898
P 2.898 4.061 1.161
P 1.163 0.000 5.222
P 0.000 5.222 1.163
P -1.161 2.898 4.061
P 1.161 2.898 4.061
Os 2.031 2.031 -2.031
Os 2.031 -2.031 2.031
Os -2.031 2.031 2.031
Os 2.031 2.031 2.031
```

[16]
## NdP2Os (GGA-PBE)

Data for crystalline NdP2Os at its relaxed geometry.

Summary:
ΔE_f	-0.230	eV/atom
calculated total energy	-83.21	eV/cell
Fermi-level density of states	8.77	states/eV per cell

```
12
Lattice="4.890 0.000 0.000 -2.445 4.235 0.000 0.000 0.000 10.369" Properties=species:S:1:pos:R:3 pbc="T T T"
Nd 0.000 0.000 0.000
Nd 0.000 2.823 6.913
Nd 2.445 1.412 3.456
P 0.000 0.000 2.782
P 0.000 0.000 7.587
P 0.000 2.823 4.131
P 0.000 2.823 9.694
P 2.445 1.412 0.675
P 2.445 1.412 6.238
Os 0.000 0.000 5.185
Os 0.000 2.823 1.728
Os 2.445 1.412 8.641
```

[17]
## NdP2OsRu (GGA-PBE)

Data for crystalline NdP2OsRu at its relaxed geometry.

Summary:
ΔE_f	-0.872	eV/atom
calculated total energy	-80.90	eV/cell
Fermi-level density of states	3.27	states/eV per cell

```
10
Lattice="4.092 0.000 0.000 0.000 4.092 0.000 0.000 0.000 9.982" Properties=species:S:1:pos:R:3 pbc="T T T"
Nd 0.000 0.000 0.000
Nd 2.046 2.046 4.991
P 0.000 0.000 3.677
P 0.000 0.000 6.306
P 2.046 2.046 1.314
P 2.046 2.046 8.668
Os 0.000 2.046 2.496
Os 2.046 0.000 7.487
Ru 0.000 2.046 7.487
Ru 2.046 0.000 2.496
```

[18]
## NdTcP2Os (GGA-PBE)

Data for crystalline NdTcP2Os at its relaxed geometry.

Summary:
ΔE_f	-0.835	eV/atom
calculated total energy	-82.72	eV/cell
Fermi-level density of states	4.39	states/eV per cell

```
10
Lattice="4.152 0.000 0.000 0.000 4.152 0.000 0.000 0.000 9.877" Properties=species:S:1:pos:R:3 pbc="T T T"
Nd 0.000 0.000 0.000
Nd 2.076 2.076 4.938
Tc 0.000 2.076 7.408
Tc 2.076 0.000 2.469
P 0.000 0.000 3.599
P 0.000 0.000 6.278
P 2.076 2.076 1.339
P 2.076 2.076 8.538
Os 0.000 2.076 2.469
Os 2.076 0.000 7.408
```

[19]
## NdPa2Os (GGA-PBE)

Data for crystalline NdPa2Os at its relaxed geometry.

Summary:
ΔE_f	0.296	eV/atom
calculated total energy	-101.42	eV/cell
Fermi-level density of states	27.53	states/eV per cell

```
12
Lattice="3.691 0.000 0.000 -1.845 3.196 0.000 0.000 0.000 29.642" Properties=species:S:1:pos:R:3 pbc="T T T"
Nd 0.000 0.000 0.000
Nd 0.000 2.131 19.761
Nd 1.845 1.065 9.881
Pa 0.000 0.000 3.219
Pa 0.000 0.000 26.423
Pa 0.000 2.131 16.542
Pa 0.000 2.131 22.980
Pa 1.845 1.065 6.662
Pa 1.845 1.065 13.099
Os 0.000 0.000 14.821
Os 0.000 2.131 4.940
Os 1.845 1.065 24.701
```

[20]
## Nd2PaOs2 (GGA-PBE)

Data for crystalline Nd2PaOs2 at its relaxed geometry.

Summary:
ΔE_f	-0.241	eV/atom
calculated total energy	-85.39	eV/cell
Fermi-level density of states	8.91	states/eV per cell

```
10
Lattice="5.018 -3.030 0.000 5.018 3.030 0.000 -1.481 0.000 8.033" Properties=species:S:1:pos:R:3 pbc="T T T"
Nd 1.272 0.774 1.201
Nd 0.532 -0.774 5.218
Nd 8.024 0.774 2.816
Nd 7.284 -0.774 6.833
Pa 4.648 0.761 2.008
Pa 3.908 -0.761 6.025
Os 2.949 0.800 3.954
Os 2.209 -0.800 7.971
Os 6.347 0.800 0.063
Os 5.607 -0.800 4.080
```